1.
DFT (PBE) results for ZrInTcPt after structural relaxation.

abc: 4.653 4.653 4.653
angles: 60.00 60.00 60.00
Element x y z (fractional)
Zr: 0.250 0.250 0.250
Tc: 0.500 0.500 0.500
Pt: 0.000 0.000 0.000
In: 0.750 0.750 0.750

The calculation puts the volume at 17.807 Å³ per atom. The formation energy comes out at -0.45 eV/atom.

***

2.
DFT (PBE) results for In2TePt after structural relaxation.

abc: 4.224 4.224 7.219
angles: 72.59 72.59 60.06
Element x y z (fractional)
In: 0.997 0.997 0.009
In: 0.232 0.232 0.309
Pt: 0.500 0.500 0.501
Te: 0.772 0.772 0.681

The calculation puts the volume at 26.183 Å³ per atom. The value obtained for the energy relative to the elements, uncorrected is -0.199 eV per atom.

***

3.
DFT (PBE) results for In2TePt after structural relaxation.

abc: 3.318 3.318 8.600
angles: 90.00 90.00 89.93
Element x y z (fractional)
In: 0.000 0.000 0.056
In: 0.000 0.000 0.444
Pt: 0.500 0.500 0.250
Te: 0.500 0.500 0.750

The calculation puts the volume at 23.670 Å³ per atom. The value obtained for the energy relative to the elements, uncorrected is -0.108 eV per atom.

***

4.
DFT (PBE) results for In2TePt2 after structural relaxation.

abc: 3.928 3.928 7.890
angles: 75.59 75.59 90.00
Element x y z (fractional)
Te: 0.000 0.000 0.000
Pt: 0.750 0.250 0.500
Pt: 0.250 0.750 0.500
In: 0.384 0.384 0.232
In: 0.616 0.616 0.768

The value obtained for the energy above the most stable polymorph in this dataset is 117 meV/atom. The calculation puts the volume at 22.791 Å³ per atom. The value obtained for the energy relative to the elements, uncorrected is -0.147 eV per atom.

***

| no. | density of states at the Fermi level (states/eV per atom) |
| --- | --- |
| 1 | 0.126 |
| 2 | 0.395 |
| 3 | 0.967 |
| 4 | 0.633 |